Entry 1:
Cs2OsS | PBE | optimized geometry

```
data_Cs2OsS
_space_group_name_H-M_alt 'F m -3 m'
_space_group_IT_number 225
_space_group_name_Hall '-F 4 2 3'
_cell_length_a 8.5258
_cell_length_b 8.5258
_cell_length_c 8.5258
_cell_angle_alpha 90.00
_cell_angle_beta 90.00
_cell_angle_gamma 90.00
loop_
_atom_site_label
_atom_site_type_symbol
_atom_site_fract_x
_atom_site_fract_y
_atom_site_fract_z
Cs1 Cs 0.2500 0.2500 0.2500
Os1 Os 0.0000 0.0000 0.0000
S1 S 0.0000 0.0000 0.5000
```

Properties
As for the final energy: -3.10 eV/atom. Its total moment is 4.0 μB/f.u. The calculation puts the relative energy among the computed polymorphs at 981 meV per atom.

Entry 2:
CsOsS2 | PBE | optimized geometry

```
data_CsOsS2
_space_group_name_H-M_alt 'R -3 m'
_space_group_IT_number 166
_space_group_name_Hall '-R 3 2"'
_cell_length_a 3.7668
_cell_length_b 3.7668
_cell_length_c 25.4438
_cell_angle_alpha 90.00
_cell_angle_beta 90.00
_cell_angle_gamma 120.00
loop_
_atom_site_label
_atom_site_type_symbol
_atom_site_fract_x
_atom_site_fract_y
_atom_site_fract_z
Cs1 Cs 0.0000 0.0000 0.0000
Os1 Os 0.0000 0.0000 0.5000
S1 S 0.0000 0.0000 0.1250
```

Properties
As for the final energy: -5.18 eV/atom. Its total moment is 0.0 μB/f.u. The calculation puts the relative energy among the computed polymorphs at 0 meV per atom.

no.,formation energy (no corrections) (eV/f.u.)
1,4.656
2,-0.378